## 1
VASP calculation (PBE) on crystalline ZnCNF2 at its relaxed geometry.

Values from the calculation:
- space group = P4/mmm (123)
- theoretical density (Mg/m³) = 3.4

Structure (POSCAR):
```
ZnCNF2
1.0
3.9013 0.0000 0.0000
0.0000 3.9013 0.0000
0.0000 0.0000 4.1115
Zn C N F
1 1 1 2
Direct
0.0000 0.0000 0.0000
0.5000 0.5000 0.5000
0.0000 0.0000 0.5000
0.0000 0.5000 0.0000
0.5000 0.0000 0.0000
```


## 2
VASP calculation (PBE) on crystalline ZnCNF2 at its relaxed geometry.

Values from the calculation:
- space group = P4/mmm (123)
- theoretical density (Mg/m³) = 4.1

Structure (POSCAR):
```
ZnCNF2
1.0
4.5793 0.0000 0.0000
0.0000 4.5793 0.0000
0.0000 0.0000 2.4766
Zn C N F
1 1 1 2
Direct
0.0000 0.0000 0.0000
0.5000 0.5000 0.5000
0.5000 0.5000 0.0000
0.0000 0.5000 0.5000
0.5000 0.0000 0.5000
```


Energies relative to the most stable structure, in eV/atom: 1 1.346; 2 0.000.